The following is a PBE-GGA calculation of a relaxed structure of Rb4CePm3Se8, from Alexandria via LeMat-Bulk.

The structure in POSCAR format:
```
Rb4CePm3Se8
1.0
4.369 2.522 8.006
-4.369 2.522 8.006
0.000 -5.044 8.006
Rb Ce Pm Se
4 1 3 8
Direct
0.000 0.000 0.000
0.000 0.500 0.500
0.500 0.000 0.500
0.500 0.500 0.000
0.500 0.500 0.500
0.000 0.000 0.500
0.000 0.500 0.000
0.500 0.000 0.000
0.231 0.734 0.734
0.233 0.233 0.233
0.266 0.266 0.769
0.266 0.769 0.266
0.734 0.231 0.734
0.734 0.734 0.231
0.767 0.767 0.767
0.769 0.266 0.266
```

Results
Uncorrected formation energy, eV per formula unit: -27.5
Space group: No. 166
Crystal system: trigonal
Raw total energy, eV per atom: -4.9670